A relaxed structure of PmMn12C6. Source: the Alexandria database, functional PBE-GGA.

Calculated values
Its magnetization is 9.8 μB/cell. The symmetry is R-3m, No. 166. The calculation puts the formation energy at -65 meV per atom.

abc: 5.9358 5.9358 5.9358
angles: 103.18 103.18 103.18
Last column: nearest neighbours and their distance in Å.
Fractional positions:
Pm  0.0000  0.0000  0.0000  6 C 3.02, 18 Mn 3.18-3.22
Mn  0.1336  0.5000  0.8664  4 C 2.03-2.04
Mn  0.1336  0.8664  0.5000  4 C 2.03-2.04
Mn  0.1900  0.4626  0.4626  3 C 2.07-2.13
Mn  0.4626  0.1900  0.4626  3 C 2.07-2.13
Mn  0.4626  0.4626  0.1900  3 C 2.07-2.13
Mn  0.5000  0.1336  0.8664  4 C 2.03-2.04
Mn  0.5000  0.8664  0.1336  4 C 2.03-2.04
Mn  0.5374  0.5374  0.8100  3 C 2.07-2.13
Mn  0.5374  0.8100  0.5374  3 C 2.07-2.13
Mn  0.8100  0.5374  0.5374  3 C 2.07-2.13
Mn  0.8664  0.1336  0.5000  4 C 2.03-2.04
Mn  0.8664  0.5000  0.1336  4 C 2.03-2.04
C  0.2275  0.2275  0.6677  7 Mn 2.03-2.13
C  0.2275  0.6677  0.2275  7 Mn 2.03-2.13
C  0.3323  0.7725  0.7725  7 Mn 2.03-2.13
C  0.6677  0.2275  0.2275  7 Mn 2.03-2.13
C  0.7725  0.3323  0.7725  7 Mn 2.03-2.13
C  0.7725  0.7725  0.3323  7 Mn 2.03-2.13

---

A relaxed structure of Pm2Mn17C2. Source: the Alexandria database, functional PBE-GGA.

Calculated values
Its magnetization is 6.6 μB/cell. The symmetry is C2/m, No. 12. The calculation puts the formation energy at -31 meV per atom.

abc: 6.4779 6.4779 6.4535
angles: 96.09 96.09 84.38
Last column: nearest neighbours and their distance in Å.
Fractional positions:
Pm  0.1450  0.1450  0.3476  2 C 2.54
Pm  0.8550  0.8550  0.6524  2 C 2.54
Mn  0.0000  0.5000  0.0000  10 Mn 2.41-2.66
Mn  0.1528  0.1528  0.8742  9 Mn 2.46-2.70
Mn  0.1657  0.6343  0.3372  1 C 1.91
Mn  0.2179  0.4949  0.7193  1 C 1.89
Mn  0.2280  0.7720  0.0000  10 Mn 2.41-2.66
Mn  0.3657  0.8343  0.6628  1 C 1.91
Mn  0.4050  0.4050  0.0983  7 Mn 2.37-2.65
Mn  0.4949  0.2179  0.7193  1 C 1.89
Mn  0.5000  0.0000  0.0000  10 Mn 2.41-2.66
Mn  0.5000  0.5000  0.5000  10 Mn 2.43-2.62
Mn  0.5051  0.7821  0.2807  1 C 1.89
Mn  0.5950  0.5950  0.9017  7 Mn 2.37-2.65
Mn  0.6343  0.1657  0.3372  1 C 1.91
Mn  0.7720  0.2280  0.0000  10 Mn 2.41-2.66
Mn  0.7821  0.5051  0.2807  1 C 1.89
Mn  0.8343  0.3657  0.6628  1 C 1.91
Mn  0.8472  0.8472  0.1258  9 Mn 2.46-2.70
C  0.0000  0.5000  0.5000  4 Mn 1.89-1.91
C  0.5000  0.0000  0.5000  4 Mn 1.89-1.91

---

Number 2 is which compound?
Pm2Mn17C2

---

Repeat the second record exactly.
A relaxed structure of Pm2Mn17C2. Source: the Alexandria database, functional PBE-GGA.

Calculated values
Its magnetization is 6.6 μB/cell. The symmetry is C2/m, No. 12. The calculation puts the formation energy at -31 meV per atom.

abc: 6.4779 6.4779 6.4535
angles: 96.09 96.09 84.38
Last column: nearest neighbours and their distance in Å.
Fractional positions:
Pm  0.1450  0.1450  0.3476  2 C 2.54
Pm  0.8550  0.8550  0.6524  2 C 2.54
Mn  0.0000  0.5000  0.0000  10 Mn 2.41-2.66
Mn  0.1528  0.1528  0.8742  9 Mn 2.46-2.70
Mn  0.1657  0.6343  0.3372  1 C 1.91
Mn  0.2179  0.4949  0.7193  1 C 1.89
Mn  0.2280  0.7720  0.0000  10 Mn 2.41-2.66
Mn  0.3657  0.8343  0.6628  1 C 1.91
Mn  0.4050  0.4050  0.0983  7 Mn 2.37-2.65
Mn  0.4949  0.2179  0.7193  1 C 1.89
Mn  0.5000  0.0000  0.0000  10 Mn 2.41-2.66
Mn  0.5000  0.5000  0.5000  10 Mn 2.43-2.62
Mn  0.5051  0.7821  0.2807  1 C 1.89
Mn  0.5950  0.5950  0.9017  7 Mn 2.37-2.65
Mn  0.6343  0.1657  0.3372  1 C 1.91
Mn  0.7720  0.2280  0.0000  10 Mn 2.41-2.66
Mn  0.7821  0.5051  0.2807  1 C 1.89
Mn  0.8343  0.3657  0.6628  1 C 1.91
Mn  0.8472  0.8472  0.1258  9 Mn 2.46-2.70
C  0.0000  0.5000  0.5000  4 Mn 1.89-1.91
C  0.5000  0.0000  0.5000  4 Mn 1.89-1.91

---

The highest magnetization belongs to which entry?
PmMn12C6

---

Among the records above, which one has the lowest magnetization?
Pm2Mn17C2